No. 1
9
Lattice="-0.0399 1.5142 4.1366 5.9609 -3.5153 3.6899 4.5493 6.3879 0.0512" Properties=species:S:1:pos:R:3 comment="CeS8, optimized geometry, DFT PBE" e_form_raw_mev_per_atom=99 energy_ev_per_atom=-4.229 pbc="T T T"
S 4.5439 -1.7602 5.3794
S 1.0474 2.0724 1.5971
S 4.2236 2.0632 3.9767
S 5.3905 0.4867 2.2194
S 5.1197 2.3859 1.5216
S 1.3772 -0.2409 2.4471
S 6.2468 2.3237 3.9009
S 3.4620 5.8297 2.5907
Ce 0.0000 0.0000 0.0000

No. 2
11
Lattice="5.3363 0.0000 0.0000 2.6682 4.6214 0.0000 2.6682 1.5405 5.9875" Properties=species:S:1:pos:R:3 comment="Ac2PmH2O6, optimized geometry, DFT PBE" energy_ev_per_atom=-6.589 pbc="T T T"
O 6.5989 2.3519 4.3135
O 5.3363 1.6229 1.6739
O 5.3363 4.5389 4.3135
O 4.0737 2.3519 4.3135
O 4.0737 3.8099 1.6739
O 6.5989 3.8099 1.6739
Pm 0.0000 0.0000 0.0000
Ac 8.0045 4.6214 3.8156
Ac 2.6681 1.5405 2.1718
H 5.3363 3.0809 1.7182
H 5.3363 3.0809 4.2693

No. 3
6
Lattice="-0.0465 4.3533 -0.2230 1.5083 -0.2049 -4.3142 -6.1268 -0.0507 0.2862" Properties=species:S:1:pos:R:3 comment="SrHRh, optimized geometry, DFT PBE" e_above_lowest_polymorph_kj_per_mol_fu=0 energy_ev_per_atom=-4.510 pbc="T T T"
H -1.3492 2.3453 -1.1616
H -4.9797 0.0644 -2.3235
Sr -0.9323 1.1773 -3.3864
Sr -5.4205 3.4745 -0.2136
Rh -3.7987 1.1824 -1.9639
Rh -2.5533 3.3953 -1.6323

No. 4
6
Lattice="2.7028 -4.6814 0.0000 2.7028 4.6814 0.0000 0.0000 0.0000 5.0988" Properties=species:S:1:pos:R:3 comment="Zr5Cu, optimized geometry, DFT PBE" ef_ev_per_atom=0.083 e_above_lowest_polymorph_kj_per_mol_fu=54 energy_ev_per_atom=-7.723 pbc="T T T"
Zr 2.7028 1.5605 2.5494
Zr 2.7028 -1.5605 2.5494
Zr 1.7173 0.0000 0.0000
Zr 1.8442 -3.1942 0.0000
Zr 1.8442 3.1942 0.0000
Cu 0.0000 0.0000 2.5494

No. 5
13
Lattice="-0.8104 5.6567 -1.5531 -7.4618 2.8586 3.0157 2.8090 4.9263 5.1876" Properties=species:S:1:pos:R:3 comment="DyMg2Sc10, optimized geometry, DFT PBE" ef_ev_per_atom=0.177 energy_ev_per_atom=-5.293 pbc="T T T"
Sc 1.4045 2.4632 2.5938
Sc -4.2600 10.1603 5.3606
Sc -0.7805 4.1916 4.3845
Sc -4.6828 9.2500 2.2658
Sc -5.7005 6.1272 2.7122
Sc 0.2373 7.3144 3.9380
Sc -3.3468 7.0292 4.7694
Sc 0.9993 5.2915 1.8173
Sc -1.2033 3.2813 1.2896
Sc -2.1164 6.4124 1.8809
Dy 0.0000 0.0000 0.0000
Mg -4.1361 4.2576 0.7313
Mg -3.7309 1.4293 1.5079

No. 6
15
Lattice="6.1030 0.0000 3.2915 2.1639 5.7065 3.2915 -2.5316 -1.7475 11.9978" Properties=species:S:1:pos:R:3 comment="Tb4Y8Tm3, optimized geometry, DFT PBE" ef_ev_per_atom=0.149 e_above_lowest_polymorph_kj_per_mol_fu=0 energy_ev_per_atom=-5.428 pbc="T T T"
Y 0.1686 0.1164 10.6259
Y 4.3864 3.0279 13.7781
Y 5.5667 3.8426 7.9548
Y 3.2344 0.1164 12.2794
Y 1.2557 2.9830 12.2794
Y 4.4797 0.9760 6.3014
Y 1.3489 0.9311 4.8027
Y 2.5009 3.8426 6.3014
Tm -0.1838 1.9795 7.6446
Tm -1.2658 -0.8737 5.9989
Tm 1.7857 -0.8737 7.6446
Tb 2.8677 1.9795 9.2904
Tb 0.2656 0.1833 14.1151
Tb 0.0000 0.0000 0.0000
Tb 5.4698 3.7757 4.4656

Q: What is the formula in the first record?
A: CeS8